Computed, not measured: an optimized crystal structure of TaNi2Bi at the PBE level of DFT.

For the total DFT energy (no corrections), the calculation gives -6.0039 eV/atom. The value obtained for the formation energy is 0.820 eV per atom. The magnetization is 0.0 Bohr magnetons per cell.

The space group is I-42d (No. 122) and the conventional cell measures 5.667, 5.667 and 11.383 Å, with angles of 90.00, 90.00 and 90.00 degrees. Symmetry generates all atoms from Ta at (0.000, 0.000, 0.000), Ni at (0.226, 0.250, 0.125) and Bi at (0.000, 0.000, 0.500).